1.
# Cs4RbAu4 | the Alexandria database | GGA-PBE | relaxed
data_Cs4RbAu4
_cell_length_a 7.2950
_cell_length_b 10.9553
_cell_length_c 10.9553
_cell_angle_alpha 90.00
_cell_angle_beta 90.00
_cell_angle_gamma 90.00
_space_group_name_H-M_alt 'P 1'
_space_group_IT_number 1
loop_
_space_group_symop_operation_xyz
'x,y,z'
loop_
_atom_site_label
_atom_site_type_symbol
_atom_site_fract_x
_atom_site_fract_y
_atom_site_fract_z
_atom_site_occupancy
Cs1 Cs 0.3747 0.3115 0.9137 1
Cs2 Cs 0.8747 0.5863 0.8115 1
Cs3 Cs 0.3747 0.6885 0.0863 1
Cs4 Cs 0.1253 0.1885 0.5863 1
Cs5 Cs 0.6253 0.9137 0.6885 1
Cs6 Cs 0.1253 0.8115 0.4137 1
Cs7 Cs 0.8747 0.4137 0.1885 1
Cs8 Cs 0.6253 0.0863 0.3115 1
Rb1 Rb 0.0000 0.0000 0.0000 1
Rb2 Rb 0.5000 0.5000 0.5000 1
Au1 Au 0.6424 0.7661 0.3621 1
Au2 Au 0.6424 0.2339 0.6379 1
Au3 Au 0.1424 0.8621 0.7339 1
Au4 Au 0.8576 0.2661 0.8621 1
Au5 Au 0.8576 0.7339 0.1379 1
Au6 Au 0.3576 0.3621 0.2339 1
Au7 Au 0.3576 0.6379 0.7661 1
Au8 Au 0.1424 0.1379 0.2661 1
# - Symmetry: No. 86
# - Final energy: -2.216 eV/atom
# - ΔE_f: -273 meV/atom
# - M_tot: 0.00 μB/f.u.
# - D(E_F): 0.400 states/eV per atom

***

2.
# CaSb2 | the Alexandria database | GGA-PBE | relaxed
data_CaSb2
_cell_length_a 10.8415
_cell_length_b 10.8415
_cell_length_c 10.8415
_cell_angle_alpha 157.39
_cell_angle_beta 157.39
_cell_angle_gamma 32.19
_space_group_name_H-M_alt 'P 1'
_space_group_IT_number 1
loop_
_space_group_symop_operation_xyz
'x,y,z'
loop_
_atom_site_label
_atom_site_type_symbol
_atom_site_fract_x
_atom_site_fract_y
_atom_site_fract_z
_atom_site_occupancy
Ca1 Ca 0.0000 0.0000 0.0000 1
Ca2 Ca 0.7500 0.2500 0.5000 1
Sb1 Sb 0.5728 0.5728 0.0000 1
Sb2 Sb 0.1772 0.6772 0.5000 1
Sb3 Sb 0.4272 0.4272 0.0000 1
Sb4 Sb 0.3228 0.8228 0.5000 1
# - Symmetry: No. 141
# - Final energy: -3.864 eV/atom
# - ΔE_f (raw): -449.0 meV/atom
# - M_tot: 0.00 μB/f.u.
# - D(E_F): 0.549 states/eV per atom

***

3.
# Mg3VGe | the Alexandria database | GGA-PBE | relaxed
data_Mg3VGe
_cell_length_a 5.0298
_cell_length_b 5.0298
_cell_length_c 5.0298
_cell_angle_alpha 90.00
_cell_angle_beta 90.00
_cell_angle_gamma 90.00
_space_group_name_H-M_alt 'P 1'
_space_group_IT_number 1
loop_
_space_group_symop_operation_xyz
'x,y,z'
loop_
_atom_site_label
_atom_site_type_symbol
_atom_site_fract_x
_atom_site_fract_y
_atom_site_fract_z
_atom_site_occupancy
Ge1 Ge 0.0000 0.0000 0.0000 1
Mg1 Mg 0.0000 0.5000 0.0000 1
Mg2 Mg 0.0000 0.0000 0.5000 1
Mg3 Mg 0.5000 0.0000 0.0000 1
V1 V 0.5000 0.5000 0.5000 1
# - Symmetry: No. 221
# - Final energy: -3.042 eV/atom
# - ΔE_f: 662 meV/atom
# - M_tot: 4.24 μB/f.u.
# - D(E_F): 1.612 states/eV per atom

***

4.
# TlSb2PtI | the Alexandria database | GGA-PBE | relaxed
data_TlSb2PtI
_cell_length_a 5.2623
_cell_length_b 5.2623
_cell_length_c 5.9617
_cell_angle_alpha 90.00
_cell_angle_beta 90.00
_cell_angle_gamma 90.00
_space_group_name_H-M_alt 'P 1'
_space_group_IT_number 1
loop_
_space_group_symop_operation_xyz
'x,y,z'
loop_
_atom_site_label
_atom_site_type_symbol
_atom_site_fract_x
_atom_site_fract_y
_atom_site_fract_z
_atom_site_occupancy
I1 I 0.0000 0.0000 0.5000 1
Sb1 Sb 0.0000 0.5000 0.0000 1
Sb2 Sb 0.5000 0.0000 0.0000 1
Tl1 Tl 0.5000 0.5000 0.5000 1
Pt1 Pt 0.0000 0.0000 0.0000 1
# - Symmetry: No. 123
# - Final energy: -3.469 eV/atom
# - ΔE_f (raw): 171.8 meV/atom
# - M_tot: 0.82 μB/f.u.
# - D(E_F): 0.830 states/eV per atom

***

5.
# RbCrI3 | the Alexandria database | GGA-PBE | relaxed
data_RbCrI3
_cell_length_a 5.7395
_cell_length_b 5.7395
_cell_length_c 5.7395
_cell_angle_alpha 90.00
_cell_angle_beta 90.00
_cell_angle_gamma 90.00
_space_group_name_H-M_alt 'P 1'
_space_group_IT_number 1
loop_
_space_group_symop_operation_xyz
'x,y,z'
loop_
_atom_site_label
_atom_site_type_symbol
_atom_site_fract_x
_atom_site_fract_y
_atom_site_fract_z
_atom_site_occupancy
I1 I 0.0000 0.5000 0.0000 1
I2 I 0.0000 0.0000 0.5000 1
I3 I 0.5000 0.0000 0.0000 1
Cr1 Cr 0.0000 0.0000 0.0000 1
Rb1 Rb 0.5000 0.5000 0.5000 1
# - Symmetry: No. 221
# - Final energy: -3.792 eV/atom
# - ΔE_f (raw): -743.7 meV/atom
# - M_tot: 4.00 μB/f.u.
# - D(E_F): 0.189 states/eV per atom

***

6.
# PmCdSbPt | the Alexandria database | GGA-PBE | relaxed
data_PmCdSbPt
_cell_length_a 5.0954
_cell_length_b 5.0954
_cell_length_c 5.0954
_cell_angle_alpha 60.00
_cell_angle_beta 60.00
_cell_angle_gamma 60.00
_space_group_name_H-M_alt 'P 1'
_space_group_IT_number 1
loop_
_space_group_symop_operation_xyz
'x,y,z'
loop_
_atom_site_label
_atom_site_type_symbol
_atom_site_fract_x
_atom_site_fract_y
_atom_site_fract_z
_atom_site_occupancy
Sb1 Sb 0.2500 0.2500 0.2500 1
Cd1 Cd 0.5000 0.5000 0.5000 1
Pt1 Pt 0.7500 0.7500 0.7500 1
Pm1 Pm 0.0000 0.0000 0.0000 1
# - Symmetry: No. 216
# - Final energy: -4.493 eV/atom
# - ΔE_f (raw): -535.3 meV/atom
# - M_tot: 0.00 μB/f.u.
# - D(E_F): 0.303 states/eV per atom

***

7.
# Tl2GaRu | the Alexandria database | GGA-PBE | relaxed
data_Tl2GaRu
_cell_length_a 4.9030
_cell_length_b 4.9030
_cell_length_c 4.9030
_cell_angle_alpha 60.00
_cell_angle_beta 60.00
_cell_angle_gamma 60.00
_space_group_name_H-M_alt 'P 1'
_space_group_IT_number 1
loop_
_space_group_symop_operation_xyz
'x,y,z'
loop_
_atom_site_label
_atom_site_type_symbol
_atom_site_fract_x
_atom_site_fract_y
_atom_site_fract_z
_atom_site_occupancy
Ru1 Ru 0.5000 0.5000 0.5000 1
Tl1 Tl 0.2500 0.2500 0.2500 1
Tl2 Tl 0.7500 0.7500 0.7500 1
Ga1 Ga 0.0000 0.0000 0.0000 1
# - Symmetry: No. 225
# - Final energy: -3.678 eV/atom
# - ΔE_f: 581 meV/atom
# - M_tot: 0.00 μB/f.u.
# - D(E_F): 0.547 states/eV per atom

***

8.
# Nd2Sm2In5 | the Alexandria database | GGA-PBE | relaxed
data_Nd2Sm2In5
_cell_length_a 7.3178
_cell_length_b 10.2719
_cell_length_c 9.5339
_cell_angle_alpha 122.60
_cell_angle_beta 112.57
_cell_angle_gamma 90.00
_space_group_name_H-M_alt 'P 1'
_space_group_IT_number 1
loop_
_space_group_symop_operation_xyz
'x,y,z'
loop_
_atom_site_label
_atom_site_type_symbol
_atom_site_fract_x
_atom_site_fract_y
_atom_site_fract_z
_atom_site_occupancy
Nd1 Nd 0.0996 0.6905 0.2531 1
Nd2 Nd 0.9003 0.4374 0.7469 1
Nd3 Nd 0.6534 0.1905 0.2531 1
Nd4 Nd 0.3466 0.9374 0.7469 1
Sm1 Sm 0.0000 0.9990 0.0000 1
Sm2 Sm 0.5000 0.4990 0.0000 1
Sm3 Sm 0.2526 0.3806 0.5000 1
Sm4 Sm 0.7474 0.8806 0.5000 1
In1 In 0.2678 0.7315 0.9093 1
In2 In 0.7322 0.8222 0.0907 1
In3 In 0.1416 0.2315 0.9093 1
In4 In 0.8584 0.3222 0.0907 1
In5 In 0.3632 0.9892 0.3023 1
In6 In 0.6368 0.6868 0.6977 1
In7 In 0.4391 0.4892 0.3023 1
In8 In 0.5609 0.1868 0.6977 1
In9 In 0.9335 0.5988 0.5000 1
In10 In 0.0665 0.0988 0.5000 1
# - Symmetry: No. 46
# - Final energy: -3.926 eV/atom
# - ΔE_f: -296 meV/atom
# - M_tot: 0.00 μB/f.u.
# - D(E_F): 0.764 states/eV per atom

***

9.
# ZrTi2Si2 | the Alexandria database | GGA-PBE | relaxed
data_ZrTi2Si2
_cell_length_a 3.3946
_cell_length_b 4.6966
_cell_length_c 10.8793
_cell_angle_alpha 96.51
_cell_angle_beta 90.00
_cell_angle_gamma 90.00
_space_group_name_H-M_alt 'P 1'
_space_group_IT_number 1
loop_
_space_group_symop_operation_xyz
'x,y,z'
loop_
_atom_site_label
_atom_site_type_symbol
_atom_site_fract_x
_atom_site_fract_y
_atom_site_fract_z
_atom_site_occupancy
Zr1 Zr 0.2500 0.6938 0.2527 1
Zr2 Zr 0.7500 0.3062 0.7473 1
Ti1 Ti 0.2500 0.8484 0.9021 1
Ti2 Ti 0.7500 0.1516 0.0979 1
Ti3 Ti 0.2500 0.2531 0.5204 1
Ti4 Ti 0.7500 0.7469 0.4796 1
Si1 Si 0.2500 0.7884 0.6635 1
Si2 Si 0.7500 0.2116 0.3365 1
Si3 Si 0.2500 0.3531 0.9541 1
Si4 Si 0.7500 0.6469 0.0459 1
# - Symmetry: No. 11
# - Final energy: -7.516 eV/atom
# - ΔE_f (raw): -478.9 meV/atom
# - M_tot: 0.24 μB/f.u.
# - D(E_F): 0.979 states/eV per atom

***

10.
# TaCoPt4 | the Alexandria database | GGA-PBE | relaxed
data_TaCoPt4
_cell_length_a 4.5578
_cell_length_b 5.5088
_cell_length_c 7.9861
_cell_angle_alpha 69.82
_cell_angle_beta 90.00
_cell_angle_gamma 89.99
_space_group_name_H-M_alt 'P 1'
_space_group_IT_number 1
loop_
_space_group_symop_operation_xyz
'x,y,z'
loop_
_atom_site_label
_atom_site_type_symbol
_atom_site_fract_x
_atom_site_fract_y
_atom_site_fract_z
_atom_site_occupancy
Ta1 Ta 0.2500 0.3030 0.8940 1
Ta2 Ta 0.7500 0.6970 0.1060 1
Co1 Co 0.2500 0.8039 0.8921 1
Co2 Co 0.7500 0.1961 0.1079 1
Pt1 Pt 0.7501 0.2903 0.4107 1
Pt2 Pt 0.7500 0.0986 0.7975 1
Pt3 Pt 0.2501 0.2010 0.5893 1
Pt4 Pt 0.2500 0.3960 0.2025 1
Pt5 Pt 0.2499 0.7097 0.5893 1
Pt6 Pt 0.7499 0.7990 0.4107 1
Pt7 Pt 0.2500 0.9014 0.2025 1
Pt8 Pt 0.7500 0.6040 0.7975 1
# - Symmetry: No. 63
# - Final energy: -7.585 eV/atom
# - ΔE_f: -398 meV/atom
# - M_tot: 1.70 μB/f.u.
# - D(E_F): 0.673 states/eV per atom

***

11.
# Ba5Ca24 | the Alexandria database | GGA-PBE | relaxed
data_Ba5Ca24
_cell_length_a 12.0279
_cell_length_b 12.0279
_cell_length_c 12.0279
_cell_angle_alpha 109.47
_cell_angle_beta 109.47
_cell_angle_gamma 109.47
_space_group_name_H-M_alt 'P 1'
_space_group_IT_number 1
loop_
_space_group_symop_operation_xyz
'x,y,z'
loop_
_atom_site_label
_atom_site_type_symbol
_atom_site_fract_x
_atom_site_fract_y
_atom_site_fract_z
_atom_site_occupancy
Ba1 Ba 0.0000 0.0000 0.3699 1
Ba2 Ba 0.0000 0.3699 0.0000 1
Ba3 Ba 0.6301 0.6301 0.6301 1
Ba4 Ba 0.3699 0.0000 0.0000 1
Ba5 Ba 0.0000 0.0000 0.0000 1
Ca1 Ca 0.0000 0.8077 0.6197 1
Ca2 Ca 0.0000 0.6197 0.8077 1
Ca3 Ca 0.1880 0.3803 0.3803 1
Ca4 Ca 0.8120 0.1923 0.1923 1
Ca5 Ca 0.8077 0.0000 0.6197 1
Ca6 Ca 0.6197 0.0000 0.8077 1
Ca7 Ca 0.1923 0.8120 0.1923 1
Ca8 Ca 0.3803 0.1880 0.3803 1
Ca9 Ca 0.1923 0.1923 0.8120 1
Ca10 Ca 0.3803 0.3803 0.1880 1
Ca11 Ca 0.6197 0.8077 0.0000 1
Ca12 Ca 0.8077 0.6197 0.0000 1
Ca13 Ca 0.0000 0.3237 0.5975 1
Ca14 Ca 0.0000 0.5975 0.3237 1
Ca15 Ca 0.7262 0.4025 0.4025 1
Ca16 Ca 0.2738 0.6763 0.6763 1
Ca17 Ca 0.3237 0.0000 0.5975 1
Ca18 Ca 0.5975 0.0000 0.3237 1
Ca19 Ca 0.6763 0.2738 0.6763 1
Ca20 Ca 0.4025 0.7262 0.4025 1
Ca21 Ca 0.6763 0.6763 0.2738 1
Ca22 Ca 0.4025 0.4025 0.7262 1
Ca23 Ca 0.5975 0.3237 0.0000 1
Ca24 Ca 0.3237 0.5975 0.0000 1
# - Symmetry: No. 217
# - Final energy: -1.953 eV/atom
# - ΔE_f: 35 meV/atom
# - M_tot: 0.00 μB/f.u.
# - D(E_F): 1.165 states/eV per atom

***

12.
# Sr2AgRuO6 | the Alexandria database | GGA-PBE | relaxed
data_Sr2AgRuO6
_cell_length_a 5.9015
_cell_length_b 5.9015
_cell_length_c 5.7673
_cell_angle_alpha 59.22
_cell_angle_beta 59.22
_cell_angle_gamma 60.00
_space_group_name_H-M_alt 'P 1'
_space_group_IT_number 1
loop_
_space_group_symop_operation_xyz
'x,y,z'
loop_
_atom_site_label
_atom_site_type_symbol
_atom_site_fract_x
_atom_site_fract_y
_atom_site_fract_z
_atom_site_occupancy
Sr1 Sr 0.5505 0.5505 0.3485 1
Sr2 Sr 0.0518 0.0518 0.8445 1
Ag1 Ag 0.8015 0.8015 0.5954 1
Ru1 Ru 0.3133 0.3133 0.0601 1
O1 O 0.5542 0.1644 0.2645 1
O2 O 0.1643 0.0169 0.2645 1
O3 O 0.0169 0.5543 0.2645 1
O4 O 0.4550 0.6339 0.7910 1
O5 O 0.6339 0.1200 0.7911 1
O6 O 0.1200 0.4550 0.7911 1
# - Symmetry: No. 146
# - Final energy: -6.052 eV/atom
# - ΔE_f (raw): -1527.9 meV/atom
# - M_tot: 1.01 μB/f.u.
# - D(E_F): 0.440 states/eV per atom

***

- The lowest final energy belongs to which entry?
  TaCoPt4